Entry 1:
The following is a PBE with a Hubbard U calculation of crystalline Li2NdCoO4 at its relaxed geometry, from Alexandria.

Computed properties:
Its total magnetization is 4.02 μB per formula unit. The electronic total energy comes out at -6.251 eV per atom.

The structure in POSCAR format:
```
Li2NdCoO4
1.0
-2.654 2.654 3.252
2.654 -2.654 3.252
2.654 2.654 -3.252
Li Nd Co O
2 1 1 4
Direct
0.250 0.750 0.500
0.750 0.250 0.500
0.000 0.000 0.000
0.500 0.500 0.000
0.134 0.134 0.576
0.442 0.866 0.000
0.558 0.558 0.424
0.866 0.442 0.000
```



Entry 2:
The following is a PBE with a Hubbard U calculation of crystalline SrLiNdCoO4 at its relaxed geometry, from Alexandria.

Computed properties:
Its total magnetization is 3.00 μB per formula unit. The electronic total energy comes out at -6.388 eV per atom.

The structure in POSCAR format:
```
SrLiNdCoO4
1.0
3.830 0.000 0.000
0.000 4.167 0.000
-1.017 0.000 7.176
Sr Li Nd Co O
1 1 1 1 4
Direct
0.000 0.000 0.000
0.502 0.500 0.275
0.927 0.000 0.508
0.444 0.500 0.729
0.130 0.500 0.429
0.484 0.000 0.709
0.563 0.000 0.216
0.969 0.500 0.814
```



Entry 3:
The following is a PBE with a Hubbard U calculation of crystalline SrLiNdCoO4 at its relaxed geometry, from Alexandria.

Computed properties:
Its total magnetization is 2.97 μB per formula unit. The electronic total energy comes out at -6.343 eV per atom.

The structure in POSCAR format:
```
SrLiNdCoO4
1.0
2.744 -2.707 0.000
2.744 2.707 0.000
-0.067 0.000 7.211
Sr Li Nd Co O
1 1 1 1 4
Direct
0.000 0.000 0.000
0.495 0.495 0.230
0.464 0.464 0.618
0.975 0.975 0.402
0.032 0.032 0.683
0.480 0.978 0.360
0.495 0.495 0.950
0.978 0.480 0.360
```



Entry 4:
The following is a PBE with a Hubbard U calculation of crystalline SrLiNdCoO4 at its relaxed geometry, from Alexandria.

Computed properties:
Its total magnetization is 3.00 μB per formula unit. The electronic total energy comes out at -6.378 eV per atom.

The structure in POSCAR format:
```
SrLiNdCoO4
1.0
3.680 0.000 0.000
0.311 5.383 0.000
1.430 2.281 6.049
Sr Li Nd Co O
1 1 1 1 4
Direct
0.000 0.000 0.000
0.979 0.785 0.538
0.452 0.343 0.443
0.526 0.531 0.874
0.110 0.472 0.753
0.447 0.216 0.147
0.607 0.938 0.720
0.949 0.612 0.332
```



Entry 5:
The following is a PBE with a Hubbard U calculation of crystalline SrLiNdCoO4 at its relaxed geometry, from Alexandria.

Computed properties:
Its total magnetization is 3.00 μB per formula unit. The electronic total energy comes out at -6.447 eV per atom.

The structure in POSCAR format:
```
SrLiNdCoO4
1.0
3.370 0.000 0.000
0.000 3.708 0.000
0.000 0.000 8.818
Sr Li Nd Co O
1 1 1 1 4
Direct
0.000 0.000 0.000
0.500 0.500 0.305
0.500 0.500 0.678
0.000 0.000 0.374
0.000 0.000 0.706
0.000 0.500 0.453
0.500 0.000 0.246
0.500 0.500 0.934
```